No. 1
First-principles (GGA-PBE) data for YMgPt2 after structural relaxation, as listed in Alexandria.

Cell and atoms, written as POSCAR:
```
YMgPt2
1.0
-2.017 2.017 4.601
2.017 -2.017 4.601
2.017 2.017 -4.601
Y Mg Pt
1 1 2
Direct
0.000 0.000 0.000 Y
0.250 0.750 0.500 Mg
0.500 0.500 0.000 Pt
0.750 0.250 0.500 Pt
```

Values from the calculation:
calculated formation energy	-0.93	eV/atom

No. 2
First-principles (GGA-PBE) data for Th4Te2PPd after structural relaxation, as listed in Alexandria.

Cell and atoms, written as POSCAR:
```
Th4Te2PPd
1.0
7.501 0.000 0.000
0.000 4.167 0.000
-2.393 0.000 7.410
Th Te P Pd
4 2 1 1
Direct
0.228 0.000 0.213 Th
0.263 0.500 0.787 Th
0.737 0.500 0.213 Th
0.772 0.000 0.787 Th
0.000 0.000 0.500 Te
0.500 0.500 0.500 Te
0.000 0.500 0.000 P
0.500 0.000 0.000 Pd
```

Values from the calculation:
uncorrected formation energy	-8.9	eV per formula unit

No. 3
First-principles (GGA-PBE) data for Mg2HPb after structural relaxation, as listed in Alexandria.

Cell and atoms, written as POSCAR:
```
Mg2HPb
1.0
6.401 0.000 0.000
0.000 5.669 0.000
-1.680 0.000 8.676
Mg H Pb
8 4 4
Direct
0.082 0.246 0.081 Mg
0.082 0.754 0.581 Mg
0.245 0.256 0.754 Mg
0.245 0.744 0.254 Mg
0.755 0.256 0.746 Mg
0.755 0.744 0.246 Mg
0.918 0.246 0.419 Mg
0.918 0.754 0.919 Mg
0.007 0.411 0.877 H
0.007 0.589 0.377 H
0.993 0.411 0.623 H
0.993 0.589 0.123 H
0.411 0.243 0.417 Pb
0.411 0.757 0.917 Pb
0.589 0.243 0.083 Pb
0.589 0.757 0.583 Pb
```

Values from the calculation:
relative energy among the computed polymorphs	0.0000	eV/atom

No. 4
First-principles (GGA-PBE) data for Th7Bi2Ir2 after structural relaxation, as listed in Alexandria.

Cell and atoms, written as POSCAR:
```
Th7Bi2Ir2
1.0
4.494 -5.529 0.000
4.494 5.529 0.000
0.000 0.000 7.080
Th Bi Ir
7 2 2
Direct
0.000 0.000 0.000 Th
0.000 0.500 0.253 Th
0.000 0.500 0.747 Th
0.500 0.000 0.253 Th
0.500 0.000 0.747 Th
0.500 0.500 0.240 Th
0.500 0.500 0.760 Th
0.181 0.181 0.500 Bi
0.819 0.819 0.500 Bi
0.261 0.739 0.000 Ir
0.739 0.261 0.000 Ir
```

Values from the calculation:
calculated formation energy	-0.34	eV/atom
relative energy among the computed polymorphs	0.2173	eV/atom

No. 5
First-principles (GGA-PBE) data for SrGaCo2Bi after structural relaxation, as listed in Alexandria.

Cell and atoms, written as POSCAR:
```
SrGaCo2Bi
1.0
4.930 0.000 0.000
0.000 4.930 0.000
0.000 0.000 6.250
Sr Ga Co Bi
1 1 2 1
Direct
0.000 0.000 0.000 Sr
0.500 0.500 0.000 Ga
0.000 0.500 0.500 Co
0.500 0.000 0.500 Co
0.000 0.000 0.500 Bi
```

Values from the calculation:
calculated formation energy	0.89	eV/atom

No. 6
First-principles (GGA-PBE) data for SrCo3Br after structural relaxation, as listed in Alexandria.

Cell and atoms, written as POSCAR:
```
SrCo3Br
1.0
4.511 0.000 0.000
0.000 4.511 0.000
0.000 0.000 4.511
Sr Co Br
1 3 1
Direct
0.000 0.000 0.000 Sr
0.000 0.500 0.500 Co
0.500 0.000 0.500 Co
0.500 0.500 0.000 Co
0.500 0.500 0.500 Br
```

Values from the calculation:
uncorrected formation energy	4.0	eV per formula unit
relative energy among the computed polymorphs	0.0000	eV/atom

No. 7
First-principles (GGA-PBE) data for OsPtPb2Se after structural relaxation, as listed in Alexandria.

Cell and atoms, written as POSCAR:
```
OsPtPb2Se
1.0
5.368 0.000 0.000
0.000 5.368 0.000
0.000 0.000 4.768
Os Pt Pb Se
1 1 2 1
Direct
0.000 0.000 0.000 Os
0.000 0.000 0.500 Pt
0.000 0.500 0.000 Pb
0.500 0.000 0.000 Pb
0.500 0.500 0.500 Se
```

Values from the calculation:
uncorrected formation energy	3.3	eV per formula unit

No. 8
First-principles (GGA-PBE) data for CdPbSe2O6 after structural relaxation, as listed in Alexandria.

Cell and atoms, written as POSCAR:
```
CdPbSe2O6
1.0
2.802 1.618 5.954
-2.802 1.618 5.954
0.000 -3.236 5.954
Cd Pb Se O
1 1 2 6
Direct
0.000 0.000 0.000 Cd
0.500 0.500 0.500 Pb
0.293 0.293 0.293 Se
0.707 0.707 0.707 Se
0.009 0.785 0.449 O
0.215 0.551 0.991 O
0.449 0.009 0.785 O
0.551 0.991 0.215 O
0.785 0.449 0.009 O
0.991 0.215 0.551 O
```

Values from the calculation:
uncorrected formation energy	-9.7	eV per formula unit

No. 9
First-principles (GGA-PBE) data for BeZn2Ru after structural relaxation, as listed in Alexandria.

Cell and atoms, written as POSCAR:
```
BeZn2Ru
1.0
2.651 0.000 0.000
0.000 4.087 0.000
-1.129 0.000 4.703
Be Zn Ru
1 2 1
Direct
0.000 0.000 0.000 Be
0.147 0.500 0.761 Zn
0.853 0.500 0.239 Zn
0.500 0.000 0.500 Ru
```

Values from the calculation:
calculated formation energy	0.06	eV/atom

No. 10
First-principles (GGA-PBE) data for DyCd5In4 after structural relaxation, as listed in Alexandria.

Cell and atoms, written as POSCAR:
```
DyCd5In4
1.0
-2.537 5.056 5.114
2.537 -5.056 5.114
2.537 5.056 -5.114
Dy Cd In
1 5 4
Direct
0.000 0.000 0.000 Dy
0.092 0.825 0.267 Cd
0.442 0.175 0.267 Cd
0.500 0.000 0.500 Cd
0.558 0.825 0.733 Cd
0.908 0.175 0.733 Cd
0.196 0.500 0.696 In
0.331 0.331 0.000 In
0.669 0.669 0.000 In
0.804 0.500 0.304 In
```

Values from the calculation:
calculated formation energy	-0.01	eV/atom

No. 11
First-principles (GGA-PBE) data for Rb2Cu2Te2H after structural relaxation, as listed in Alexandria.

Cell and atoms, written as POSCAR:
```
Rb2Cu2Te2H
1.0
6.182 -2.253 0.000
6.182 2.253 0.000
-4.914 0.000 6.821
Rb Cu Te H
2 2 2 1
Direct
0.053 0.053 0.316 Rb
0.947 0.947 0.684 Rb
0.341 0.341 0.938 Cu
0.659 0.659 0.062 Cu
0.292 0.292 0.217 Te
0.708 0.708 0.783 Te
0.500 0.500 0.000 H
```

Values from the calculation:
E	-3.213	eV/atom

No. 12
First-principles (GGA-PBE) data for K2TlAsSe after structural relaxation, as listed in Alexandria.

Cell and atoms, written as POSCAR:
```
K2TlAsSe
1.0
6.795 0.000 0.000
0.000 6.795 0.000
0.000 0.000 4.973
K Tl As Se
2 1 1 1
Direct
0.000 0.500 0.000 K
0.500 0.000 0.000 K
0.000 0.000 0.000 Tl
0.000 0.000 0.500 As
0.500 0.500 0.500 Se
```

Values from the calculation:
uncorrected formation energy	0.3	eV per formula unit

No. 13
First-principles (GGA-PBE) data for YSnS2O after structural relaxation, as listed in Alexandria.

Cell and atoms, written as POSCAR:
```
YSnS2O
1.0
3.814 0.000 0.000
0.000 3.814 0.000
0.000 0.000 14.399
Y Sn S O
2 2 4 2
Direct
0.250 0.250 0.081 Y
0.750 0.750 0.919 Y
0.250 0.250 0.646 Sn
0.750 0.750 0.354 Sn
0.250 0.250 0.394 S
0.250 0.250 0.815 S
0.750 0.750 0.185 S
0.750 0.750 0.606 S
0.250 0.750 0.000 O
0.750 0.250 0.000 O
```

Values from the calculation:
uncorrected formation energy	-8.6	eV per formula unit

| no. | density of states at the Fermi level (states/eV/f.u.) |
| --- | --- |
| 1 | 1.37 |
| 2 | 6.69 |
| 3 | 1.70 |
| 4 | 12.34 |
| 5 | 9.40 |
| 6 | 6.26 |
| 7 | 3.94 |
| 8 | 0.00 |
| 9 | 2.56 |
| 10 | 3.46 |
| 11 | 4.58 |
| 12 | 4.61 |
| 13 | 0.64 |